Entry from Alexandria via LeMat-Bulk: an optimized crystal structure of PmTe2PtO8 (GGA-PBE).

Fermi-level density of states = 4.26 states/eV/f.u.
E = -5.7832 eV per atom

a b c (Å): 7.1696 7.1696 7.1480
angles (deg): 90.00 90.00 90.00
Last column: nearest neighbours and their distance in Å.
Space group I-4m2 (No. 119)
Unique sites:
Pm 0.0000 0.0000 0.0000 x2  4 O 2.29
Te 0.0000 0.0000 0.5000 x2  4 O 2.04
Te 0.0000 0.5000 0.7500 x2  4 O 1.82
Pt 0.0000 0.5000 0.2500 x2  4 O 2.17
O 0.0000 0.2010 0.2983 x8  1 Te 2.04, 1 Pt 2.17
O 0.0000 0.3084 0.9172 x8  1 Te 1.82